No. 1
Here is a relaxed structure of NdScGaAg from Alexandria via LeMat-Bulk. Energies are from PBE.

Properties
For the energy, the calculation gives -4.64 eV per atom. As for the formation enthalpy at 0 K: -1.6 eV/f.u. The space-group type is F-43m.

Unit cell a=5.070 b=5.070 c=5.070 alpha=60.00 beta=60.00 gamma=60.00
Positions (direct):
Sc 0.000 0.000 0.000
Nd 0.500 0.500 0.500
Ga 0.750 0.750 0.750
Ag 0.250 0.250 0.250

No. 2
Here is a relaxed structure of NdGaAgSn from Alexandria via LeMat-Bulk. Energies are from PBE.

Properties
For the energy, the calculation gives -3.98 eV per atom. As for the formation enthalpy at 0 K: -1.3 eV/f.u. The space-group type is F-43m.

Unit cell a=5.093 b=5.093 c=5.093 alpha=60.00 beta=60.00 gamma=60.00
Positions (direct):
Ga 0.000 0.000 0.000
Nd 0.750 0.750 0.750
Sn 0.250 0.250 0.250
Ag 0.500 0.500 0.500

No. 3
Here is a relaxed structure of Nd4TlGaAg2 from Alexandria via LeMat-Bulk. Energies are from PBE.

Properties
For the energy, the calculation gives -4.13 eV per atom. As for the formation enthalpy at 0 K: -2.9 eV/f.u. The space-group type is R-3m.

Unit cell a=5.353 b=5.353 c=9.285 alpha=73.25 beta=73.25 gamma=60.00
Positions (direct):
Nd 0.380 0.380 0.861
Nd 0.871 0.871 0.388
Nd 0.129 0.129 0.612
Nd 0.620 0.620 0.139
Tl 0.000 0.000 0.000
Ga 0.500 0.500 0.500
Ag 0.746 0.746 0.762
Ag 0.254 0.254 0.238

No. 4
Here is a relaxed structure of NdYGaAg from Alexandria via LeMat-Bulk. Energies are from PBE.

Properties
For the energy, the calculation gives -4.72 eV per atom. As for the formation enthalpy at 0 K: -1.8 eV/f.u. The space-group type is F-43m.

Unit cell a=5.208 b=5.208 c=5.208 alpha=60.00 beta=60.00 gamma=60.00
Positions (direct):
Y 0.750 0.750 0.750
Nd 0.250 0.250 0.250
Ga 0.500 0.500 0.500
Ag 0.000 0.000 0.000